1.
# ReP2SO (PBE-GGA, optimized geometry)
data_ReP2SO
_chemical_formula_sum 'Re1 P2 S1 O1'
_space_group_name_H-M_alt 'P 4/m m m'
_space_group_IT_number 123
_space_group_name_Hall '-P 4 2'
_cell_length_a 4.724
_cell_length_b 4.724
_cell_length_c 3.732
_cell_angle_alpha 90.00
_cell_angle_beta 90.00
_cell_angle_gamma 90.00
loop_
_atom_site_label
_atom_site_fract_x
_atom_site_fract_y
_atom_site_fract_z
Re1 0.000 0.000 0.000
P1 0.000 0.500 0.000
S1 0.500 0.500 0.500
O1 0.000 0.000 0.500
# Size of the total moment, μB/cell: 0.00
# Energy, eV/atom: -6.41
# Calculated density, g/cm³: 5.91
# ΔE_f (raw), eV per atom: 0.06
# N(E_F), states/eV per atom: 0.40
# Energy above the lowest structure with this stoichiometry, meV per atom: 0



2.
# RePSO2 (PBE-GGA, optimized geometry)
data_RePSO2
_chemical_formula_sum 'Re1 P1 S1 O2'
_space_group_name_H-M_alt 'P 4/m m m'
_space_group_IT_number 123
_space_group_name_Hall '-P 4 2'
_cell_length_a 3.416
_cell_length_b 3.416
_cell_length_c 7.204
_cell_angle_alpha 90.00
_cell_angle_beta 90.00
_cell_angle_gamma 90.00
loop_
_atom_site_label
_atom_site_fract_x
_atom_site_fract_y
_atom_site_fract_z
Re1 0.000 0.000 0.000
P1 0.500 0.500 0.000
S1 0.500 0.500 0.500
O1 0.000 0.500 0.500
# Size of the total moment, μB/cell: 1.69
# Energy, eV/atom: -5.73
# Calculated density, g/cm³: 5.55
# ΔE_f (raw), eV per atom: 0.65
# N(E_F), states/eV per atom: 0.81



3.
# ReP2SO (PBE-GGA, optimized geometry)
data_ReP2SO
_chemical_formula_sum 'Re1 P2 S1 O1'
_space_group_name_H-M_alt 'P 4/m m m'
_space_group_IT_number 123
_space_group_name_Hall '-P 4 2'
_cell_length_a 4.532
_cell_length_b 4.532
_cell_length_c 3.237
_cell_angle_alpha 90.00
_cell_angle_beta 90.00
_cell_angle_gamma 90.00
loop_
_atom_site_label
_atom_site_fract_x
_atom_site_fract_y
_atom_site_fract_z
Re1 0.000 0.000 0.000
P1 0.000 0.500 0.500
S1 0.500 0.500 0.500
O1 0.500 0.500 0.000
# Size of the total moment, μB/cell: 0.75
# Energy, eV/atom: -5.73
# Calculated density, g/cm³: 7.40
# ΔE_f (raw), eV per atom: 0.74
# N(E_F), states/eV per atom: 0.62
# Energy above the lowest structure with this stoichiometry, meV per atom: 685



4.
# RePSO2 (PBE-GGA, optimized geometry)
data_RePSO2
_chemical_formula_sum 'Re1 P1 S1 O2'
_space_group_name_H-M_alt 'P 4/m m m'
_space_group_IT_number 123
_space_group_name_Hall '-P 4 2'
_cell_length_a 3.713
_cell_length_b 3.713
_cell_length_c 5.271
_cell_angle_alpha 90.00
_cell_angle_beta 90.00
_cell_angle_gamma 90.00
loop_
_atom_site_label
_atom_site_fract_x
_atom_site_fract_y
_atom_site_fract_z
Re1 0.000 0.000 0.000
P1 0.000 0.000 0.500
S1 0.500 0.500 0.500
O1 0.000 0.500 0.000
# Size of the total moment, μB/cell: 0.00
# Energy, eV/atom: -6.99
# Calculated density, g/cm³: 6.43
# ΔE_f (raw), eV per atom: -0.61
# N(E_F), states/eV per atom: 0.37